(1)
This record from Alexandria describes a geometry-optimized ZrRe structure. The functional is PBE-GGA.

## Properties
V, Å³/f.u.: 41.2
ΔH_f (0 K), kJ per mole of atoms: 7.8
E, eV per atom: -10.417

Cell: 7.869 7.869 4.606 Å, 90.00 90.00 120.00°
Atoms (fractional coordinates):
Zr 0.827 0.654 0.250
Zr 0.173 0.827 0.750
Zr 0.346 0.173 0.250
Zr 0.173 0.346 0.750
Zr 0.827 0.173 0.250
Zr 0.654 0.827 0.750
Re 0.442 0.883 0.250
Re 0.558 0.442 0.750
Re 0.117 0.558 0.250
Re 0.558 0.117 0.750
Re 0.442 0.558 0.250
Re 0.883 0.442 0.750

=====

(2)
This record from Alexandria describes a geometry-optimized ZrRe structure. The functional is PBE-GGA.

## Properties
V, Å³/f.u.: 36.7
ΔH_f (0 K), kJ per mole of atoms: 9.5
E, eV per atom: -10.399

Cell: 5.526 3.921 3.921 Å, 90.00 69.22 110.78°
Atoms (fractional coordinates):
Re 0.000 0.000 0.000
Re 0.500 0.250 0.250
Zr 0.500 0.750 0.750
Zr 0.000 0.500 0.500

=====

(3)
This record from Alexandria describes a geometry-optimized ZrRe7 structure. The functional is PBE-GGA.

## Properties
V, Å³/f.u.: 125.6
ΔH_f (0 K), kJ per mole of atoms: 16.2
E, eV per atom: -11.793

Cell: 5.621 5.621 5.621 Å, 60.00 60.00 60.00°
Atoms (fractional coordinates):
Zr 0.000 0.000 0.000
Re 0.000 0.500 0.500
Re 0.500 0.000 0.500
Re 0.500 0.500 0.000
Re 0.000 0.000 0.500
Re 0.000 0.500 0.000
Re 0.500 0.000 0.000
Re 0.500 0.500 0.500